{"formula": "Ba2SnS4", "functional": "GGA-PBEsol", "state": "relaxed", "lattice_angstrom": [[-2.566, 4.097, 6.623], [-6.397, -5.975, 1.218], [7.729, -7.532, 3.641]], "species": ["S", "S", "S", "S", "S", "S", "S", "S", "S", "S", "S", "S", "S", "S", "S", "S", "Sn", "Sn", "Sn", "Sn", "Ba", "Ba", "Ba", "Ba", "Ba", "Ba", "Ba", "Ba"], "frac_coords": [[0.983, 0.311, 0.392], [0.517, 0.811, 0.108], [0.882, 0.871, 0.959], [0.846, 0.479, 0.109], [0.118, 0.129, 0.041], [0.346, 0.021, 0.609], [0.474, 0.382, 0.207], [0.654, 0.979, 0.391], [0.017, 0.689, 0.608], [0.526, 0.618, 0.793], [0.618, 0.371, 0.541], [0.974, 0.118, 0.707], [0.483, 0.189, 0.892], [0.382, 0.629, 0.459], [0.154, 0.521, 0.891], [0.026, 0.882, 0.293], [0.188, 0.812, 0.496], [0.812, 0.188, 0.504], [0.688, 0.688, 0.996], [0.312, 0.312, 0.004], [0.192, 0.655, 0.160], [0.245, 0.885, 0.846], [0.692, 0.845, 0.660], [0.808, 0.345, 0.840], [0.755, 0.115, 0.154], [0.745, 0.615, 0.346], [0.308, 0.155, 0.340], [0.255, 0.385, 0.654]], "n_ef_per_ev_atom": 0.000, "dft_energy_ev_per_atom": -5.17}